The following is a PBE-GGA calculation of a geometry-optimized Ir2Au structure, from the Alexandria database.

Computed properties:
* energy of formation: 2.4 eV per formula unit
* final energy: -6.215 eV/atom
* magnetic moment: 0.00 Bohr magnetons per cell
* ΔE to the lowest computed polymorph: 562 meV per atom
* symmetry: P4/mmm (123)

abc: 3.6369 3.6369 4.1943
angles: 90.00 90.00 90.00
Closest atoms and distances in Å follow each position.
Fractional coordinates of all 3 atoms:
Au: 0.0000 0.0000 0.0000  8 Ir 2.78
Ir: 0.0000 0.5000 0.5000  4 Ir 2.57, 4 Au 2.78
Ir: 0.5000 0.0000 0.5000  4 Ir 2.57, 4 Au 2.78